VASP calculation (PBE) on a relaxed Sr2GaRe2 crystal.

## Properties
Crystal system ... orthorhombic
Uncorrected energy ... -25.9 eV per formula unit

abc: 12.9201 9.7261 9.1145
angles: 86.53 48.71 44.76
Site moments in Bohr magnetons follow the coordinates.
Fractional positions:
Re1 0.3082 0.3082 0.1918  0.31
Ga1 0.5000 0.5000 0.5000  -0.01
Sr1 0.6250 0.6250 0.6250  0.01
Ga2 0.7500 0.7500 0.7500  -0.01
Sr2 0.6250 0.1250 0.6250  0.01
Sr3 0.6250 0.6250 0.1250  0.01
Re2 0.0582 0.0582 0.9418  0.29
Sr4 0.1250 0.6250 0.6250  0.01
Re3 0.1918 0.1918 0.3082  0.29
Re4 0.9418 0.9418 0.0582  0.31

***

VASP calculation (PBE) on a relaxed AsPdNO crystal.

## Properties
E above lowest polymorph ... 226 meV/atom
Crystal system ... orthorhombic

abc: 3.4179 5.4090 5.8380
angles: 90.00 90.00 90.00
Fractional positions:
N1 0.0000 0.3366 0.6292
As1 0.0000 0.9760 0.6687
Pd1 0.5000 0.9983 0.2248
N2 0.0000 0.8366 0.3708
O1 0.5000 0.9432 0.8027
As2 0.0000 0.4760 0.3313
O2 0.5000 0.4432 0.1973
Pd2 0.5000 0.4983 0.7752

***

VASP calculation (PBE) on a relaxed ScNbFePb crystal.

## Properties
E above lowest polymorph ... 0 meV/atom
Crystal system ... cubic

abc: 4.6713 4.6713 4.6713
angles: 60.00 60.00 60.00
Fractional positions:
Fe1 0.7500 0.7500 0.7500
Sc1 0.2500 0.2500 0.2500
Pb1 0.0000 0.0000 0.0000
Nb1 0.5000 0.5000 0.5000

***

VASP calculation (PBE) on a relaxed YTm3Pb2C2 crystal.

## Properties
Crystal system ... trigonal
Uncorrected energy ... -50.0 eV per formula unit

abc: 3.6013 3.6013 15.8988
angles: 90.00 90.00 120.00
Fractional positions:
C1 0.0000 0.0000 0.9978
Pb1 0.3333 0.6667 0.7496
Pb2 0.6667 0.3333 0.2517
C2 0.0000 0.0000 0.5001
Y1 0.3333 0.6667 0.0832
Tm1 0.6667 0.3333 0.9175
Tm2 0.6667 0.3333 0.5817
Tm3 0.3333 0.6667 0.4184

***

VASP calculation (PBE) on a relaxed TbErPb crystal.

## Properties
E above lowest polymorph ... 0 meV/atom
Crystal system ... cubic

abc: 5.1538 5.1538 5.1538
angles: 60.00 60.00 60.00
Fractional positions:
Er1 0.2500 0.2500 0.2500
Pb1 0.0000 0.0000 0.0000
Tb1 0.7500 0.7500 0.7500

***

VASP calculation (PBE) on a relaxed TcNiB4 crystal.

## Properties
E above lowest polymorph ... 48 meV/atom
Crystal system ... hexagonal

abc: 2.9700 2.9700 6.5014
angles: 90.00 90.00 120.00
Fractional positions:
B1 0.3333 0.6667 0.2406
B2 0.3333 0.6667 0.7594
B3 0.6667 0.3333 0.7594
Tc1 0.0000 0.0000 0.5000
Ni1 0.0000 0.0000 0.0000
B4 0.6667 0.3333 0.2406

***

VASP calculation (PBE) on a relaxed HgPd2Au crystal.

## Properties
Crystal system ... cubic
ΔE_f ... -0.08 eV/atom

abc: 4.6087 4.6087 4.6087
angles: 60.00 60.00 60.00
Fractional positions:
Pd1 0.7500 0.7500 0.7500
Pd2 0.0000 0.0000 0.0000
Au1 0.5000 0.5000 0.5000
Hg1 0.2500 0.2500 0.2500

***

VASP calculation (PBE) on a relaxed Sr3Ge4Pt2Au2 crystal.

## Properties
Crystal system ... orthorhombic
Uncorrected energy ... -50.2 eV per formula unit

abc: 13.0373 13.0373 13.0373
angles: 160.15 160.08 28.26
Fractional positions:
Ge1 0.7975 0.7975 0.0000
Ge2 0.5491 0.0491 0.5000
Sr1 0.3507 0.3507 0.0000
Pt1 0.7505 0.2505 0.5000
Pt2 0.2495 0.7495 0.5000
Sr2 0.0000 0.5000 0.5000
Au1 0.0990 0.0990 0.0000
Ge3 0.2025 0.2025 0.0000
Ge4 0.4509 0.9509 0.5000
Sr3 0.6493 0.6493 0.0000
Au2 0.9010 0.9010 0.0000

***

VASP calculation (PBE) on a relaxed TmAsN2O crystal.

## Properties
Crystal system ... tetragonal
Uncorrected energy ... -33.8 eV per formula unit

abc: 3.7611 3.7611 3.7699
angles: 90.00 90.00 90.00
Fractional positions:
As1 0.0000 0.0000 0.5000
Tm1 0.5000 0.5000 0.0000
O1 0.0000 0.0000 0.0000
N1 0.0000 0.5000 0.5000
N2 0.5000 0.0000 0.5000

***

VASP calculation (PBE) on a relaxed CsHfSi crystal.

## Properties
E above lowest polymorph ... 0 meV/atom
Crystal system ... cubic

abc: 4.9479 4.9479 4.9479
angles: 60.00 60.00 60.00
Fractional positions:
Hf1 0.0000 0.0000 0.0000
Cs1 0.2500 0.2500 0.2500
Si1 0.7500 0.7500 0.7500

***

VASP calculation (PBE) on a relaxed ErAlSi crystal.

## Properties
Crystal system ... cubic
Uncorrected energy ... -14.3 eV per formula unit

abc: 4.4826 4.4826 4.4826
angles: 60.00 60.00 60.00
Fractional positions:
Er1 0.7500 0.7500 0.7500
Al1 0.2500 0.2500 0.2500
Si1 0.0000 0.0000 0.0000

***

VASP calculation (PBE) on a relaxed LaCo4Sn2 crystal.

## Properties
Crystal system ... tetragonal
Uncorrected energy ... -39.5 eV per formula unit

abc: 4.4277 4.4277 6.2877
angles: 90.00 90.00 90.00
Fractional positions:
Co1 0.0000 0.5000 0.2792
Sn1 0.0000 0.0000 0.0000
La1 0.5000 0.5000 0.0000
Co2 0.5000 0.0000 0.7208
Sn2 0.5000 0.5000 0.5000
Co3 0.5000 0.0000 0.2792
Co4 0.0000 0.5000 0.7208

***

VASP calculation (PBE) on a relaxed ErHfZr crystal.

## Properties
E above lowest polymorph ... 0 meV/atom
Crystal system ... cubic
ΔE_f ... 0.91 eV/atom

abc: 4.9692 4.9692 4.9692
angles: 60.00 60.00 60.00
Fractional positions:
Zr1 0.7500 0.7500 0.7500
Hf1 0.0000 0.0000 0.0000
Er1 0.2500 0.2500 0.2500

***

VASP calculation (PBE) on a relaxed NbTlCuTe3 crystal.

## Properties
Crystal system ... orthorhombic
Uncorrected energy ... -27.1 eV per formula unit

abc: 3.8952 8.0859 10.5889
angles: 90.00 90.00 76.06
Site moments in Bohr magnetons follow the coordinates.
Fractional positions:
Nb1 0.0000 0.0000 0.0000  0.69
Te1 0.9275 0.1450 0.2500  -0.02
Te2 0.6293 0.7414 0.4524  -0.02
Cu1 0.4626 0.0748 0.7500  0.00
Tl1 0.2457 0.5086 0.2500  0.01
Nb2 0.0000 0.0000 0.5000  0.71
Te3 0.3707 0.2586 0.5476  -0.02
Te4 0.3707 0.2586 0.9524  -0.02
Te5 0.6293 0.7414 0.0476  -0.02
Cu2 0.5374 0.9252 0.2500  0.00
Tl2 0.7543 0.4914 0.7500  0.01
Te6 0.0725 0.8550 0.7500  -0.02

***

VASP calculation (PBE) on a relaxed LuInCuHg crystal.

## Properties
E above lowest polymorph ... 0 meV/atom
Crystal system ... cubic

abc: 4.8750 4.8750 4.8750
angles: 60.00 60.00 60.00
Fractional positions:
Lu1 0.5000 0.5000 0.5000
Hg1 0.2500 0.2500 0.2500
In1 0.0000 0.0000 0.0000
Cu1 0.7500 0.7500 0.7500

***

VASP calculation (PBE) on a relaxed PmNdGd crystal.

## Properties
Crystal system ... cubic
ΔE_f ... 0.72 eV/atom

abc: 5.5232 5.5232 5.5232
angles: 60.00 60.00 60.00
Fractional positions:
Nd1 0.7500 0.7500 0.7500
Pm1 0.0000 0.0000 0.0000
Gd1 0.2500 0.2500 0.2500

***

VASP calculation (PBE) on a relaxed Hf2Mg2Pd3 crystal.

## Properties
Crystal system ... trigonal
Uncorrected energy ... -42.3 eV per formula unit

abc: 7.7423 7.7423 7.7423
angles: 34.16 34.16 34.16
Fractional positions:
Mg1 0.4972 0.4972 0.4972
Pd1 0.6255 0.6255 0.6255
Pd2 0.8767 0.8767 0.8767
Hf1 0.7525 0.7525 0.7525
Mg2 0.0041 0.0041 0.0041
Pd3 0.3729 0.3729 0.3729
Hf2 0.2461 0.2461 0.2461

***

VASP calculation (PBE) on a relaxed ZnSi2Bi crystal.

## Properties
Crystal system ... cubic
Uncorrected energy ... -13.9 eV per formula unit

abc: 4.8476 4.8476 4.8476
angles: 60.00 60.00 60.00
Fractional positions:
Si1 0.0000 0.0000 0.0000
Bi1 0.7500 0.7500 0.7500
Zn1 0.5000 0.5000 0.5000
Si2 0.2500 0.2500 0.2500

***

VASP calculation (PBE) on a relaxed KNpGe crystal.

## Properties
E above lowest polymorph ... 0 meV/atom
Crystal system ... cubic

abc: 5.1825 5.1825 5.1825
angles: 60.00 60.00 60.00
Fractional positions:
Ge1 0.0000 0.0000 0.0000
K1 0.2500 0.2500 0.2500
Np1 0.7500 0.7500 0.7500

***

VASP calculation (PBE) on a relaxed Cs2K2ZnSb2 crystal.

## Properties
E above lowest polymorph ... 4 meV/atom
Crystal system ... trigonal

abc: 10.2986 10.2986 10.2986
angles: 36.02 36.02 36.02
Fractional positions:
Sb1 0.0870 0.0870 0.0870
Zn1 0.0000 0.0000 0.0000
Sb2 0.9130 0.9130 0.9130
Cs1 0.3758 0.3758 0.3758
K1 0.7914 0.7914 0.7914
K2 0.2086 0.2086 0.2086
Cs2 0.6242 0.6242 0.6242